# 1
The following is a DFT calculation (PBE) of crystalline Sc2AgAu at its relaxed geometry.

a = 9.4165 Å, b = 9.4165 Å, c = 9.4165 Å
α = 20.05°, β = 20.05°, γ = 20.05°
Fractional positions:
Sc: 0.0000 0.0000 0.0000
Sc: 0.2385 0.2385 0.2385
Ag: 0.4899 0.4899 0.4899
Au: 0.7418 0.7418 0.7418

Properties
- ΔE to the lowest computed polymorph: 385 meV/atom
- Calculated total energy: -4.86 eV per atom
- Spin magnetization: 1.05 μB/f.u.
- E_form: -0.1657 eV per atom
- Symmetry: No. 160

# 2
The following is a DFT calculation (PBE) of crystalline AcPr3Er7 at its relaxed geometry.

a = 7.1122 Å, b = 7.1122 Å, c = 8.8124 Å
α = 90.00°, β = 90.00°, γ = 120.00°
Fractional positions:
Ac: 0.0000 0.0000 0.0000
Pr: 0.3356 0.1678 0.6557
Pr: 0.8322 0.1678 0.6557
Pr: 0.8322 0.6644 0.6557
Er: 0.1676 0.3353 0.3251
Er: 0.1676 0.8324 0.3251
Er: 0.5009 0.0018 0.0008
Er: 0.5009 0.4991 0.0008
Er: 0.6647 0.8324 0.3251
Er: 0.6667 0.3333 0.3195
Er: 0.9982 0.4991 0.0008

Properties
- Calculated total energy: -4.38 eV per atom
- Spin magnetization: 0.00 μB/f.u.
- E_form: 0.1986 eV per atom
- Symmetry: No. 156

# 3
The following is a DFT calculation (PBE) of crystalline LiTmPaRu at its relaxed geometry.

a = 4.8678 Å, b = 4.8678 Å, c = 4.8678 Å
α = 60.00°, β = 60.00°, γ = 60.00°
Fractional positions:
Li: 0.0000 0.0000 0.0000
Tm: 0.2500 0.2500 0.2500
Pa: 0.7500 0.7500 0.7500
Ru: 0.5000 0.5000 0.5000

Properties
- Calculated total energy: -6.40 eV per atom
- Spin magnetization: 0.00 μB/f.u.
- E_form: -0.1088 eV per atom
- Symmetry: No. 216

# 4
The following is a DFT calculation (PBE) of crystalline PmNdRe4 at its relaxed geometry.

a = 5.4993 Å, b = 5.4993 Å, c = 5.4993 Å
α = 60.00°, β = 60.00°, γ = 60.00°
Fractional positions:
Pm: 0.0000 0.0000 0.0000
Nd: 0.7500 0.7500 0.7500
Re: 0.3750 0.3750 0.3750
Re: 0.3750 0.3750 0.8751
Re: 0.3750 0.8751 0.3750
Re: 0.8751 0.3750 0.3750

Properties
- Calculated total energy: -9.86 eV per atom
- Spin magnetization: 0.00 μB/f.u.
- E_form: 0.0285 eV per atom
- Symmetry: No. 216

# 5
The following is a DFT calculation (PBE) of crystalline Sr2Y2Co at its relaxed geometry.

a = 7.2013 Å, b = 7.2013 Å, c = 6.4545 Å
α = 90.00°, β = 90.00°, γ = 90.00°
Fractional positions:
Sr: 0.1804 0.3196 0.0000
Sr: 0.3196 0.8196 0.0000
Sr: 0.6804 0.1804 0.0000
Sr: 0.8196 0.6804 0.0000
Y: 0.1734 0.6734 0.5000
Y: 0.3266 0.1734 0.5000
Y: 0.6734 0.8266 0.5000
Y: 0.8266 0.3266 0.5000
Co: 0.0000 0.0000 0.5000
Co: 0.5000 0.5000 0.5000

Properties
- Calculated total energy: -4.44 eV per atom
- Spin magnetization: 0.00 μB/f.u.
- E_form: 0.2421 eV per atom
- Symmetry: No. 127

# 6
The following is a DFT calculation (PBE) of crystalline MgNiRu3 at its relaxed geometry.

a = 4.3951 Å, b = 4.3951 Å, c = 4.3951 Å
α = 90.00°, β = 90.00°, γ = 90.00°
Fractional positions:
Mg: 0.0000 0.0000 0.0000
Ni: 0.5000 0.5000 0.5000
Ru: 0.0000 0.0000 0.5000
Ru: 0.0000 0.5000 0.0000
Ru: 0.5000 0.0000 0.0000

Properties
- ΔE to the lowest computed polymorph: 820 meV/atom
- Calculated total energy: -5.02 eV per atom
- Spin magnetization: 0.00 μB/f.u.
- E_form: 2.0167 eV per atom
- Symmetry: No. 221

| no. | Fermi-level density of states (states/eV/atom) |
| --- | --- |
| 1 | 0.785 |
| 2 | 1.564 |
| 3 | 1.124 |
| 4 | 1.400 |
| 5 | 1.207 |
| 6 | 1.546 |